(1)
{
  "formula": "TlFeCo2Ni",
  "functional": "PBE-GGA",
  "state": "optimized geometry",
  "cell": [[4.1389, 0.0000, 0.0000], [0.0000, 4.1389, 0.0000], [0.0000, 0.0000, 4.8729]],
  "species": ["Tl", "Fe", "Co", "Co", "Ni"],
  "fractional_positions": [[0.0000, 0.0000, 0.0000], [0.0000, 0.0000, 0.5000], [0.0000, 0.5000, 0.5000], [0.5000, 0.0000, 0.5000], [0.5000, 0.5000, 0.0000]],
  "e_form_ev_per_atom": 1.355,
  "total_energy_ha_per_atom": -0.1768
}


(2)
{
  "formula": "Ca2SmPd",
  "functional": "PBE-GGA",
  "state": "optimized geometry",
  "cell": [[3.9370, 0.0000, 0.0000], [0.0000, 12.6270, 0.0000], [0.0000, 0.0000, 9.9355]],
  "species": ["Ca", "Ca", "Ca", "Ca", "Ca", "Ca", "Ca", "Ca", "Sm", "Sm", "Sm", "Sm", "Pd", "Pd", "Pd", "Pd"],
  "fractional_positions": [[0.0000, 0.1408, 0.0660], [0.0000, 0.1408, 0.4340], [0.0000, 0.8592, 0.5660], [0.0000, 0.8592, 0.9340], [0.5000, 0.3592, 0.5660], [0.5000, 0.3592, 0.9340], [0.5000, 0.6408, 0.0660], [0.5000, 0.6408, 0.4340], [0.0000, 0.4196, 0.2500], [0.0000, 0.5804, 0.7500], [0.5000, 0.0804, 0.7500], [0.5000, 0.9196, 0.2500], [0.0000, 0.2428, 0.7500], [0.0000, 0.7572, 0.2500], [0.5000, 0.2572, 0.2500], [0.5000, 0.7428, 0.7500]],
  "e_form_ev_per_atom": -0.386,
  "total_energy_ha_per_atom": -0.1420
}


(3)
{
  "formula": "Cs2CuSe8",
  "functional": "PBE-GGA",
  "state": "optimized geometry",
  "cell": [[5.5148, -3.5515, 0.0000], [5.5148, 3.5515, 0.0000], [-2.1964, 0.0000, 9.0363]],
  "species": ["Cs", "Cs", "Cu", "Se", "Se", "Se", "Se", "Se", "Se", "Se", "Se"],
  "fractional_positions": [[0.1892, 0.1892, 0.1222], [0.8108, 0.8108, 0.8778], [0.5000, 0.5000, 0.5000], [0.1602, 0.1602, 0.6226], [0.2277, 0.7175, 0.3030], [0.2825, 0.7723, 0.6970], [0.3556, 0.3556, 0.8059], [0.6444, 0.6444, 0.1941], [0.7175, 0.2277, 0.3030], [0.7723, 0.2825, 0.6970], [0.8398, 0.8398, 0.3774]],
  "formation_energy_uncorrected_ev_per_atom": -0.34,
  "total_energy_ha_per_atom": -0.1251
}


(4)
{
  "formula": "SrPHO2",
  "functional": "PBE-GGA",
  "state": "optimized geometry",
  "cell": [[4.8676, 0.0000, 0.0000], [0.0000, 4.8676, 0.0000], [0.0000, 0.0000, 6.9508]],
  "species": ["Sr", "P", "H", "O", "O"],
  "fractional_positions": [[0.0000, 0.0000, 0.0000], [0.0000, 0.0000, 0.5000], [0.5000, 0.5000, 0.5000], [0.0000, 0.5000, 0.0000], [0.5000, 0.0000, 0.0000]],
  "total_energy_ha_per_atom": -0.1241
}


(5)
{
  "formula": "KIn2Sn2",
  "functional": "PBE-GGA",
  "state": "optimized geometry",
  "cell": [[4.3786, 0.0000, 0.0000], [0.0000, 4.3786, 0.0000], [0.0000, 0.0000, 22.9907]],
  "species": ["K", "K", "In", "In", "In", "In", "Sn", "Sn", "Sn", "Sn"],
  "fractional_positions": [[0.0000, 0.0000, 0.0000], [0.5000, 0.5000, 0.5000], [0.0000, 0.0000, 0.1495], [0.0000, 0.0000, 0.8505], [0.5000, 0.5000, 0.3505], [0.5000, 0.5000, 0.6495], [0.0000, 0.5000, 0.2500], [0.0000, 0.5000, 0.7500], [0.5000, 0.0000, 0.2500], [0.5000, 0.0000, 0.7500]],
  "e_form_ev_per_atom": 0.094,
  "total_energy_ha_per_atom": -0.1037
}


(6)
{
  "formula": "LiAcTe2O8",
  "functional": "PBE-GGA",
  "state": "optimized geometry",
  "cell": [[-3.8500, 3.8500, 3.4965], [3.8500, -3.8500, 3.4965], [3.8500, 3.8500, -3.4965]],
  "species": ["Li", "Ac", "Te", "Te", "O", "O", "O", "O", "O", "O", "O", "O"],
  "fractional_positions": [[0.0000, 0.0000, 0.0000], [0.7500, 0.2500, 0.5000], [0.2500, 0.7500, 0.5000], [0.5000, 0.5000, 0.0000], [0.0802, 0.3954, 0.3152], [0.0802, 0.7651, 0.6848], [0.1497, 0.3348, 0.8149], [0.2349, 0.9198, 0.3152], [0.5198, 0.3348, 0.1851], [0.6046, 0.9198, 0.6848], [0.6652, 0.4802, 0.8149], [0.6652, 0.8503, 0.1851]],
  "formation_energy_uncorrected_ev_per_atom": -1.54,
  "total_energy_ha_per_atom": -0.2157
}


(7)
{
  "formula": "ZrPb3",
  "functional": "PBE-GGA",
  "state": "optimized geometry",
  "cell": [[3.3756, 0.0000, 0.0000], [0.0000, 3.3756, 0.0000], [0.0000, 0.0000, 9.7585]],
  "species": ["Zr", "Pb", "Pb", "Pb"],
  "fractional_positions": [[0.0000, 0.0000, 0.0000], [0.0000, 0.0000, 0.5000], [0.5000, 0.5000, 0.2251], [0.5000, 0.5000, 0.7749]],
  "e_form_ev_per_atom": 0.032,
  "total_energy_ha_per_atom": -0.1795
}


(8)
{
  "formula": "PuMg4Cd",
  "functional": "PBE-GGA",
  "state": "optimized geometry",
  "cell": [[0.0000, 4.2064, 4.2064], [4.2064, 0.0000, 4.2064], [4.2064, 4.2064, 0.0000]],
  "species": ["Pu", "Mg", "Mg", "Mg", "Mg", "Cd"],
  "fractional_positions": [[0.0000, 0.0000, 0.0000], [0.3750, 0.3750, 0.3750], [0.3750, 0.3750, 0.8751], [0.3750, 0.8751, 0.3750], [0.8751, 0.3750, 0.3750], [0.7500, 0.7500, 0.7500]],
  "e_form_ev_per_atom": 0.148,
  "total_energy_ha_per_atom": -0.1270
}